(1)
Material: Mn2GePd8
Method: DFT, PBE
State: relaxed

Computed properties:
Magnetization (μB per formula unit): 9.08
SG: Immm (71)
Excess energy over the best structure of this formula in the dataset (meV/atom): 0.0
E (eV per cell): -66.8
ΔE_f (meV per atom): -207.9

Cell lengths 6.9514, 6.9514, 6.9514 Å; angles 143.94, 118.19, 73.69 degrees
Element x y z (fractional)
Mn  0.2020  0.2020  0.0000
Mn  0.7980  0.7980  0.0000
Ge  0.5000  0.5000  0.0000
Pd  0.0662  0.3493  0.7169
Pd  0.1839  0.0000  0.1839
Pd  0.3616  0.8616  0.5000
Pd  0.3675  0.6507  0.7169
Pd  0.6325  0.3493  0.2831
Pd  0.6384  0.1384  0.5000
Pd  0.8161  0.0000  0.8161
Pd  0.9338  0.6507  0.2831

(2)
Material: MnGe2Pd
Method: DFT, PBE
State: relaxed

Computed properties:
Magnetization (μB per formula unit): 0.00
SG: Fm-3m (225)
Excess energy over the best structure of this formula in the dataset (meV/atom): 174.5
E (eV per cell): -23.3
ΔE_f (meV per atom): 77.2

Cell lengths 4.3268, 4.3268, 4.3268 Å; angles 60.00, 60.00, 60.00 degrees
Element x y z (fractional)
Mn  0.0000  0.0000  0.0000
Ge  0.2500  0.2500  0.2500
Ge  0.7500  0.7500  0.7500
Pd  0.5000  0.5000  0.5000

(3)
Material: Mn3GePd
Method: DFT, PBE
State: relaxed

Computed properties:
Magnetization (μB per formula unit): 0.00
SG: Pm-3m (221)
Excess energy over the best structure of this formula in the dataset (meV/atom): 485.3
E (eV per cell): -30.5
ΔE_f (meV per atom): 1361.3

Cell lengths 4.2809, 4.2809, 4.2809 Å; angles 90.00, 90.00, 90.00 degrees
Element x y z (fractional)
Mn  0.0000  0.0000  0.5000
Mn  0.0000  0.5000  0.0000
Mn  0.5000  0.0000  0.0000
Ge  0.0000  0.0000  0.0000
Pd  0.5000  0.5000  0.5000

(4)
Material: MnGe2Pd3
Method: DFT, PBE
State: relaxed

Computed properties:
Magnetization (μB per formula unit): 3.73
SG: Pnma (62)
E (eV per cell): -145.9
ΔE_f (meV per atom): -414.8

Cell lengths 6.9359, 3.1813, 16.5782 Å; angles 90.00, 90.00, 90.00 degrees
Element x y z (fractional)
Mn  0.0148  0.2500  0.2112
Mn  0.4852  0.7500  0.7112
Mn  0.5148  0.2500  0.2888
Mn  0.9852  0.7500  0.7888
Ge  0.2049  0.7500  0.3144
Ge  0.2459  0.2500  0.0504
Ge  0.2541  0.7500  0.5504
Ge  0.2951  0.2500  0.8144
Ge  0.7049  0.7500  0.1856
Ge  0.7459  0.2500  0.4496
Ge  0.7541  0.7500  0.9496
Ge  0.7951  0.2500  0.6856
Pd  0.0355  0.2500  0.9247
Pd  0.1049  0.2500  0.4351
Pd  0.1663  0.2500  0.6693
Pd  0.3337  0.7500  0.1693
Pd  0.3951  0.7500  0.9351
Pd  0.4645  0.7500  0.4247
Pd  0.5355  0.2500  0.5753
Pd  0.6049  0.2500  0.0649
Pd  0.6663  0.2500  0.8307
Pd  0.8337  0.7500  0.3307
Pd  0.8951  0.7500  0.5649
Pd  0.9645  0.7500  0.0753

(5)
Material: MnGe2Pd
Method: DFT, PBE
State: relaxed

Computed properties:
Magnetization (μB per formula unit): 3.47
SG: I-42d (122)
Excess energy over the best structure of this formula in the dataset (meV/atom): 78.0
E (eV per cell): -47.3
ΔE_f (meV per atom): -19.4

Cell lengths 8.9691, 8.9691, 8.9691 Å; angles 154.16, 154.16, 36.87 degrees
Element x y z (fractional)
Mn  0.0000  0.0000  0.0000
Mn  0.7500  0.2500  0.5000
Ge  0.1205  0.6250  0.9955
Ge  0.3750  0.3705  0.4955
Ge  0.6295  0.1250  0.0045
Ge  0.8750  0.8795  0.5045
Pd  0.2500  0.7500  0.5000
Pd  0.5000  0.5000  0.0000

(6)
Material: MnGePd3
Method: DFT, PBE
State: relaxed

Computed properties:
Magnetization (μB per formula unit): 0.00
SG: Pm-3m (221)
Excess energy over the best structure of this formula in the dataset (meV/atom): 1176.5
E (eV per cell): -24.9
ΔE_f (meV per atom): 895.0

Cell lengths 4.5651, 4.5651, 4.5651 Å; angles 90.00, 90.00, 90.00 degrees
Element x y z (fractional)
Mn  0.0000  0.0000  0.0000
Ge  0.5000  0.5000  0.5000
Pd  0.0000  0.0000  0.5000
Pd  0.0000  0.5000  0.0000
Pd  0.5000  0.0000  0.0000

(7)
Material: Mn3GePd
Method: DFT, PBE
State: relaxed

Computed properties:
Magnetization (μB per formula unit): 12.98
SG: Pm-3m (221)
Excess energy over the best structure of this formula in the dataset (meV/atom): 0.0
E (eV per cell): -32.9
ΔE_f (meV per atom): 875.9

Cell lengths 4.8563, 4.8563, 4.8563 Å; angles 90.00, 90.00, 90.00 degrees
Element x y z (fractional)
Mn  0.0000  0.0000  0.5000
Mn  0.0000  0.5000  0.0000
Mn  0.5000  0.0000  0.0000
Ge  0.5000  0.5000  0.5000
Pd  0.0000  0.0000  0.0000

(8)
Material: MnGe2Pd7
Method: DFT, PBE
State: relaxed

Computed properties:
Magnetization (μB per formula unit): 4.66
SG: Cmmm (65)
Excess energy over the best structure of this formula in the dataset (meV/atom): 301.6
E (eV per cell): -55.7
ΔE_f (meV per atom): -91.5

Cell lengths 8.9228, 8.9228, 2.8525 Å; angles 90.00, 90.00, 130.45 degrees
Element x y z (fractional)
Mn  0.0000  0.0000  0.0000
Ge  0.3454  0.6546  0.5000
Ge  0.6546  0.3454  0.5000
Pd  0.0905  0.2964  0.5000
Pd  0.2221  0.7779  0.0000
Pd  0.2964  0.0905  0.5000
Pd  0.5000  0.5000  0.5000
Pd  0.7036  0.9095  0.5000
Pd  0.7779  0.2221  0.0000
Pd  0.9095  0.7036  0.5000

(9)
Material: MnGePd3
Method: DFT, PBE
State: relaxed

Computed properties:
Magnetization (μB per formula unit): 4.45
SG: Cmce (64)
Excess energy over the best structure of this formula in the dataset (meV/atom): 0.0
E (eV per cell): -123.1
ΔE_f (meV per atom): -281.5

Cell lengths 7.8202, 7.8202, 5.9564 Å; angles 90.00, 90.00, 61.78 degrees
Element x y z (fractional)
Mn  0.1948  0.8052  0.8233
Mn  0.3052  0.6948  0.3233
Mn  0.6948  0.3052  0.6767
Mn  0.8052  0.1948  0.1767
Ge  0.1652  0.3348  0.2500
Ge  0.3348  0.1652  0.7500
Ge  0.6652  0.8348  0.2500
Ge  0.8348  0.6652  0.7500
Pd  0.0106  0.6779  0.1030
Pd  0.1005  0.1005  0.5000
Pd  0.1779  0.5105  0.6030
Pd  0.3221  0.9894  0.1030
Pd  0.3995  0.3995  0.0000
Pd  0.4894  0.8221  0.6030
Pd  0.5105  0.1779  0.3970
Pd  0.6005  0.6005  0.0000
Pd  0.6779  0.0106  0.8970
Pd  0.8221  0.4894  0.3970
Pd  0.8995  0.8995  0.5000
Pd  0.9894  0.3221  0.8970

(10)
Material: MnGePd3
Method: DFT, PBE
State: relaxed

Computed properties:
Magnetization (μB per formula unit): 0.82
SG: Pm-3m (221)
Excess energy over the best structure of this formula in the dataset (meV/atom): 1117.1
E (eV per cell): -25.2
ΔE_f (meV per atom): 835.6

Cell lengths 4.5806, 4.5806, 4.5806 Å; angles 90.00, 90.00, 90.00 degrees
Element x y z (fractional)
Mn  0.0000  0.0000  0.0000
Ge  0.5000  0.5000  0.5000
Pd  0.0000  0.5000  0.5000
Pd  0.5000  0.0000  0.5000
Pd  0.5000  0.5000  0.0000

(11)
Material: MnGePd2
Method: DFT, PBE
State: relaxed

Computed properties:
Magnetization (μB per formula unit): 1.00
SG: Pnma (62)
E (eV per cell): -99.8
ΔE_f (meV per atom): -195.9

Cell lengths 7.6384, 3.9937, 7.5480 Å; angles 90.00, 90.00, 90.00 degrees
Element x y z (fractional)
Mn  0.0617  0.2500  0.0115
Mn  0.4383  0.7500  0.5115
Mn  0.5617  0.2500  0.4885
Mn  0.9383  0.7500  0.9885
Ge  0.2257  0.2500  0.4587
Ge  0.2743  0.7500  0.9587
Ge  0.7257  0.2500  0.0413
Ge  0.7743  0.7500  0.5413
Pd  0.0981  0.7500  0.6521
Pd  0.1518  0.7500  0.2685
Pd  0.3482  0.2500  0.7685
Pd  0.4019  0.2500  0.1521
Pd  0.5981  0.7500  0.8479
Pd  0.6518  0.7500  0.2315
Pd  0.8482  0.2500  0.7315
Pd  0.9019  0.2500  0.3479

(12)
Material: MnGe2Pd
Method: DFT, PBE
State: relaxed

Computed properties:
Magnetization (μB per formula unit): 2.75
SG: R3m (160)
Excess energy over the best structure of this formula in the dataset (meV/atom): 19.0
E (eV per cell): -23.9
ΔE_f (meV per atom): -78.3

Cell lengths 5.5665, 5.5665, 5.5665 Å; angles 40.73, 40.73, 40.73 degrees
Element x y z (fractional)
Mn  0.0000  0.0000  0.0000
Ge  0.4203  0.4203  0.4203
Ge  0.5993  0.5993  0.5993
Pd  0.1813  0.1813  0.1813

(13)
Material: MnGe2Pd8
Method: DFT, PBE
State: relaxed

Computed properties:
Magnetization (μB per formula unit): 4.45
SG: P1 (1)
Excess energy over the best structure of this formula in the dataset (meV/atom): 0.0
E (eV per cell): -63.6
ΔE_f (meV per atom): -336.5

Cell lengths 4.6802, 5.6787, 7.3770 Å; angles 110.79, 106.25, 95.44 degrees
Element x y z (fractional)
Mn  0.0000  0.0000  0.0000
Ge  0.3571  0.3113  0.6779
Ge  0.6755  0.6345  0.3219
Pd  0.1637  0.9134  0.3425
Pd  0.2095  0.4457  0.3840
Pd  0.3361  0.6438  0.9992
Pd  0.3896  0.9159  0.7668
Pd  0.6213  0.1492  0.2329
Pd  0.8192  0.4153  0.0006
Pd  0.8210  0.5722  0.6569
Pd  0.8279  0.0638  0.6165

(14)
Material: MnGePd5
Method: DFT, PBE
State: relaxed

Computed properties:
Magnetization (μB per formula unit): 4.24
SG: P4/mmm (123)
Excess energy over the best structure of this formula in the dataset (meV/atom): 0.0
E (eV per cell): -42.3
ΔE_f (meV per atom): -357.1

Cell lengths 3.9956, 3.9956, 6.9431 Å; angles 90.00, 90.00, 90.00 degrees
Element x y z (fractional)
Mn  0.0000  0.0000  0.0000
Ge  0.5000  0.5000  0.5000
Pd  0.0000  0.5000  0.2815
Pd  0.0000  0.5000  0.7185
Pd  0.5000  0.0000  0.2815
Pd  0.5000  0.0000  0.7185
Pd  0.5000  0.5000  0.0000

(15)
Material: Mn3GePd12
Method: DFT, PBE
State: relaxed

Computed properties:
Magnetization (μB per formula unit): 13.53
SG: P4/mmm (123)
E (eV per cell): -98.5
ΔE_f (meV per atom): -255.1

Cell lengths 3.9296, 3.9296, 15.6615 Å; angles 90.00, 90.00, 90.00 degrees
Element x y z (fractional)
Mn  0.0000  0.0000  0.0000
Mn  0.0000  0.0000  0.2495
Mn  0.0000  0.0000  0.7505
Ge  0.0000  0.0000  0.5000
Pd  0.0000  0.5000  0.1250
Pd  0.0000  0.5000  0.3758
Pd  0.0000  0.5000  0.6242
Pd  0.0000  0.5000  0.8750
Pd  0.5000  0.0000  0.1250
Pd  0.5000  0.0000  0.3758
Pd  0.5000  0.0000  0.6242
Pd  0.5000  0.0000  0.8750
Pd  0.5000  0.5000  0.0000
Pd  0.5000  0.5000  0.2505
Pd  0.5000  0.5000  0.5000
Pd  0.5000  0.5000  0.7495

(16)
Material: Mn2GePd8
Method: DFT, PBE
State: relaxed

Computed properties:
Magnetization (μB per formula unit): 0.00
SG: C2/m (12)
Excess energy over the best structure of this formula in the dataset (meV/atom): 118.4
E (eV per cell): -65.5
ΔE_f (meV per atom): -89.5

Cell lengths 8.2009, 8.2009, 7.0993 Å; angles 103.35, 103.35, 20.37 degrees
Element x y z (fractional)
Mn  0.2482  0.2482  0.1018
Mn  0.7518  0.7518  0.8982
Ge  0.5000  0.5000  0.5000
Pd  0.0370  0.0370  0.2384
Pd  0.1335  0.1335  0.6443
Pd  0.3073  0.3073  0.6420
Pd  0.3957  0.3957  0.0307
Pd  0.6043  0.6043  0.9693
Pd  0.6927  0.6927  0.3580
Pd  0.8665  0.8665  0.3557
Pd  0.9630  0.9630  0.7616

(17)
Material: MnGe2Pd
Method: DFT, PBE
State: relaxed

Computed properties:
Magnetization (μB per formula unit): 3.11
SG: P4/mmm (123)
Excess energy over the best structure of this formula in the dataset (meV/atom): 0.0
E (eV per cell): -24.0
ΔE_f (meV per atom): -97.3

Cell lengths 4.4705, 4.4705, 3.0546 Å; angles 90.00, 90.00, 90.00 degrees
Element x y z (fractional)
Mn  0.0000  0.0000  0.0000
Ge  0.0000  0.5000  0.5000
Ge  0.5000  0.0000  0.5000
Pd  0.5000  0.5000  0.0000

(18)
Material: MnGePd14
Method: DFT, PBE
State: relaxed

Computed properties:
Magnetization (μB per formula unit): 4.97
SG: Amm2 (38)
E (eV per cell): -88.6
ΔE_f (meV per atom): -130.9

Cell lengths 9.0587, 5.5359, 5.5359 Å; angles 61.72, 90.00, 90.00 degrees
Element x y z (fractional)
Mn  0.0000  0.0000  0.0000
Ge  0.0000  0.4989  0.4989
Pd  0.0000  0.0103  0.5069
Pd  0.0000  0.5069  0.0103
Pd  0.2361  0.3209  0.8137
Pd  0.2361  0.8137  0.3209
Pd  0.2504  0.8209  0.8209
Pd  0.2522  0.3171  0.3171
Pd  0.5000  0.1403  0.1403
Pd  0.5000  0.1443  0.6427
Pd  0.5000  0.6427  0.1443
Pd  0.5000  0.6428  0.6428
Pd  0.7478  0.3171  0.3171
Pd  0.7496  0.8209  0.8209
Pd  0.7639  0.3209  0.8137
Pd  0.7639  0.8137  0.3209

(19)
Material: Pm2MnGe3Pd4
Method: DFT, PBE
State: relaxed

Computed properties:
Magnetization (μB per formula unit): 4.00
SG: P-4m2 (115)
E (eV per cell): -60.4
ΔE_f (meV per atom): -710.4

Cell lengths 4.3071, 4.3071, 10.3156 Å; angles 90.00, 90.00, 90.00 degrees
Element x y z (fractional)
Pm  0.0000  0.5000  0.2501
Pm  0.5000  0.0000  0.7499
Mn  0.0000  0.0000  0.5000
Ge  0.0000  0.5000  0.8707
Ge  0.5000  0.0000  0.1293
Ge  0.5000  0.5000  0.5000
Pd  0.0000  0.0000  0.0000
Pd  0.0000  0.5000  0.6342
Pd  0.5000  0.0000  0.3658
Pd  0.5000  0.5000  0.0000

(20)
Material: PmMnGe2Pd
Method: DFT, PBE
State: relaxed

Computed properties:
Magnetization (μB per formula unit): 3.71
SG: I-4m2 (119)
E (eV per cell): -31.6
ΔE_f (meV per atom): -649.8

Cell lengths 6.0845, 6.0845, 6.0845 Å; angles 139.58, 139.58, 58.48 degrees
Element x y z (fractional)
Pm  0.0000  0.0000  0.0000
Mn  0.7500  0.2500  0.5000
Ge  0.3820  0.3820  0.0000
Ge  0.6180  0.6180  0.0000
Pd  0.2500  0.7500  0.5000